No. 1
This record from Alexandria via LeMat-Bulk describes Cu2NiPSe4 after structural relaxation. The functional is PBE.

Results
The calculation puts the formation energy without anion corrections at -0.12 eV per atom. The symmetry is No. 82.

abc: 6.744 6.744 6.744
angles: 132.02 132.02 70.19
Fractional coordinates of all 8 atoms:
Cu  0.000  0.000  0.000
Cu  0.750  0.250  0.500
Ni  0.500  0.500  0.000
P  0.250  0.750  0.500
Se  0.139  0.132  0.515
Se  0.376  0.861  0.993
Se  0.617  0.624  0.485
Se  0.868  0.383  0.007


No. 2
This record from Alexandria via LeMat-Bulk describes LiSn2F5 after structural relaxation. The functional is PBE.

Results
The calculation puts the formation energy without anion corrections at -2.37 eV per atom. The symmetry is No. 63.

abc: 6.745 6.745 10.817
angles: 90.00 90.00 142.89
Fractional coordinates of all 16 atoms:
Li  0.157  0.843  0.750
Li  0.843  0.157  0.250
Sn  0.142  0.858  0.080
Sn  0.142  0.858  0.420
Sn  0.858  0.142  0.580
Sn  0.858  0.142  0.920
F  0.079  0.921  0.604
F  0.079  0.921  0.896
F  0.277  0.723  0.250
F  0.292  0.708  0.545
F  0.292  0.708  0.955
F  0.708  0.292  0.045
F  0.708  0.292  0.455
F  0.723  0.277  0.750
F  0.921  0.079  0.104
F  0.921  0.079  0.396


No. 3
This record from Alexandria via LeMat-Bulk describes AcYZnSi after structural relaxation. The functional is PBE.

Results
The calculation puts the formation energy without anion corrections at -0.35 eV per atom. The symmetry is No. 216.

abc: 5.243 5.243 5.243
angles: 60.00 60.00 60.00
Fractional coordinates of all 4 atoms:
Ac  0.000  0.000  0.000
Y  0.500  0.500  0.500
Zn  0.250  0.250  0.250
Si  0.750  0.750  0.750


No. 4
This record from Alexandria via LeMat-Bulk describes Nd2Sm8Pb after structural relaxation. The functional is PBE.

Results
The symmetry is No. 12. As for the energy of formation: -0.076 eV per atom.

abc: 9.571 9.571 8.098
angles: 104.69 104.69 30.47
Fractional coordinates of all 11 atoms:
Nd  0.223  0.223  0.134
Nd  0.777  0.777  0.866
Sm  0.044  0.044  0.227
Sm  0.136  0.136  0.678
Sm  0.321  0.321  0.592
Sm  0.411  0.411  0.059
Sm  0.589  0.589  0.941
Sm  0.679  0.679  0.408
Sm  0.864  0.864  0.322
Sm  0.956  0.956  0.773
Pb  0.500  0.500  0.500


No. 5
This record from Alexandria via LeMat-Bulk describes ScHg2 after structural relaxation. The functional is PBE.

Results
The symmetry is No. 71. As for the energy of formation: -0.169 eV per atom.

abc: 5.027 5.027 5.027
angles: 139.60 117.00 77.55
Fractional coordinates of all 3 atoms:
Sc  0.000  0.000  0.000
Hg  0.313  0.813  0.500
Hg  0.687  0.187  0.500


No. 6
This record from Alexandria via LeMat-Bulk describes Zr2Sb after structural relaxation. The functional is PBE.

Results
The calculation puts the formation energy without anion corrections at -0.22 eV per atom. The symmetry is No. 139.

abc: 7.130 7.130 7.130
angles: 153.90 153.90 37.25
Fractional coordinates of all 3 atoms:
Zr  0.166  0.166  0.000
Zr  0.834  0.834  0.000
Sb  0.500  0.500  0.000


No. 7
This record from Alexandria via LeMat-Bulk describes La2Pr3Sm7 after structural relaxation. The functional is PBE.

Results
The symmetry is No. 10. As for the energy of formation: 0.082 eV per atom.

abc: 6.010 3.659 19.338
angles: 90.00 93.00 90.00
Fractional coordinates of all 12 atoms:
La  0.209  0.000  0.294
La  0.791  0.000  0.706
Pr  0.000  0.000  0.000
Pr  0.280  0.500  0.632
Pr  0.720  0.500  0.368
Sm  0.187  0.500  0.143
Sm  0.243  0.000  0.463
Sm  0.312  0.000  0.828
Sm  0.500  0.500  0.000
Sm  0.688  0.000  0.172
Sm  0.757  0.000  0.537
Sm  0.813  0.500  0.857


No. 8
This record from Alexandria via LeMat-Bulk describes Rb2Tl5Hg4 after structural relaxation. The functional is PBE.

Results
The symmetry is No. 12. As for the energy of formation: -0.090 eV per atom.

abc: 8.176 8.176 9.974
angles: 127.39 127.39 48.29
Fractional coordinates of all 11 atoms:
Rb  0.196  0.196  0.196
Rb  0.804  0.804  0.804
Tl  0.252  0.748  0.327
Tl  0.252  0.748  0.673
Tl  0.500  0.500  0.000
Tl  0.748  0.252  0.327
Tl  0.748  0.252  0.673
Hg  0.251  0.251  0.592
Hg  0.251  0.251  0.909
Hg  0.749  0.749  0.091
Hg  0.749  0.749  0.408


No. 9
This record from Alexandria via LeMat-Bulk describes AgOsN2O after structural relaxation. The functional is PBE.

Results
The calculation puts the formation energy without anion corrections at 0.57 eV per atom. The symmetry is No. 123.

abc: 3.868 3.868 3.965
angles: 90.00 90.00 90.00
Fractional coordinates of all 5 atoms:
Ag  0.000  0.000  0.000
Os  0.500  0.500  0.500
N  0.000  0.500  0.500
N  0.500  0.000  0.500
O  0.500  0.500  0.000


No. 10
This record from Alexandria via LeMat-Bulk describes Zn4NiPt15 after structural relaxation. The functional is PBE.

Results
The symmetry is No. 123. As for the energy of formation: -0.282 eV per atom.

abc: 3.909 3.909 19.769
angles: 90.00 90.00 90.00
Fractional coordinates of all 20 atoms:
Zn  0.000  0.000  0.100
Zn  0.000  0.000  0.301
Zn  0.000  0.000  0.699
Zn  0.000  0.000  0.900
Ni  0.000  0.000  0.500
Pt  0.000  0.500  0.000
Pt  0.000  0.500  0.201
Pt  0.000  0.500  0.402
Pt  0.000  0.500  0.598
Pt  0.000  0.500  0.799
Pt  0.500  0.000  0.000
Pt  0.500  0.000  0.201
Pt  0.500  0.000  0.402
Pt  0.500  0.000  0.598
Pt  0.500  0.000  0.799
Pt  0.500  0.500  0.101
Pt  0.500  0.500  0.302
Pt  0.500  0.500  0.500
Pt  0.500  0.500  0.698
Pt  0.500  0.500  0.899


No. 11
This record from Alexandria via LeMat-Bulk describes DyInPb3 after structural relaxation. The functional is PBE.

Results
The symmetry is No. 8. As for the energy of formation: -0.162 eV per atom.

abc: 6.063 6.063 7.976
angles: 130.35 130.35 42.93
Fractional coordinates of all 5 atoms:
Dy  0.000  0.000  0.000
In  0.794  0.794  0.196
Pb  0.208  0.208  0.832
Pb  0.386  0.386  0.589
Pb  0.603  0.603  0.407


No. 12
This record from Alexandria via LeMat-Bulk describes BeSiRh3 after structural relaxation. The functional is PBE.

Results
The calculation puts the formation energy without anion corrections at 0.02 eV per atom. The symmetry is No. 221.

abc: 4.076 4.076 4.076
angles: 90.00 90.00 90.00
Fractional coordinates of all 5 atoms:
Be  0.000  0.000  0.000
Si  0.500  0.500  0.500
Rh  0.000  0.000  0.500
Rh  0.000  0.500  0.000
Rh  0.500  0.000  0.000


No. 13
This record from Alexandria via LeMat-Bulk describes AcCd6Hg4 after structural relaxation. The functional is PBE.

Results
The symmetry is No. 121. As for the energy of formation: -0.051 eV per atom.

abc: 7.615 7.615 7.615
angles: 121.57 121.57 87.30
Fractional coordinates of all 11 atoms:
Ac  0.000  0.000  0.000
Cd  0.000  0.500  0.500
Cd  0.245  0.556  0.000
Cd  0.444  0.444  0.689
Cd  0.500  0.000  0.500
Cd  0.556  0.245  0.000
Cd  0.755  0.755  0.311
Hg  0.095  0.095  0.529
Hg  0.434  0.905  0.000
Hg  0.566  0.566  0.471
Hg  0.905  0.434  0.000


No. 14
This record from Alexandria via LeMat-Bulk describes La14CePm after structural relaxation. The functional is PBE.

Results
The symmetry is No. 38. As for the energy of formation: 0.020 eV per atom.

abc: 10.478 7.401 7.401
angles: 89.96 90.00 90.00
Fractional coordinates of all 16 atoms:
La  0.000  0.000  0.000
La  0.000  0.499  0.499
La  0.000  0.501  0.999
La  0.000  0.999  0.501
La  0.254  0.254  0.254
La  0.254  0.254  0.745
La  0.254  0.745  0.254
La  0.255  0.745  0.745
La  0.500  0.001  0.498
La  0.500  0.498  0.001
La  0.745  0.745  0.745
La  0.746  0.254  0.254
La  0.746  0.254  0.745
La  0.746  0.745  0.254
Ce  0.500  0.500  0.500
Pm  0.500  0.999  0.999


No. 15
This record from Alexandria via LeMat-Bulk describes PuCdHg6 after structural relaxation. The functional is PBE.

Results
The symmetry is No. 38. As for the energy of formation: -0.046 eV per atom.

abc: 5.089 6.615 6.615
angles: 66.21 90.00 90.00
Fractional coordinates of all 8 atoms:
Pu  0.000  0.000  0.000
Cd  0.500  0.231  0.231
Hg  0.000  0.488  0.488
Hg  0.000  0.499  0.992
Hg  0.000  0.992  0.499
Hg  0.500  0.300  0.741
Hg  0.500  0.741  0.300
Hg  0.500  0.801  0.801


No. 16
This record from Alexandria via LeMat-Bulk describes Be2CuTe after structural relaxation. The functional is PBE.

Results
The calculation puts the formation energy without anion corrections at 0.61 eV per atom. The symmetry is No. 139.

abc: 4.768 4.768 4.768
angles: 132.34 132.34 69.68
Fractional coordinates of all 4 atoms:
Be  0.250  0.750  0.500
Be  0.750  0.250  0.500
Cu  0.000  0.000  0.000
Te  0.500  0.500  0.000


No. 17
This record from Alexandria via LeMat-Bulk describes SrW2Br after structural relaxation. The functional is PBE.

Results
The calculation puts the formation energy without anion corrections at 0.59 eV per atom. The symmetry is No. 12.

abc: 6.579 6.579 4.732
angles: 107.67 107.67 29.69
Fractional coordinates of all 4 atoms:
Sr  0.000  0.000  0.000
W  0.277  0.277  0.199
W  0.723  0.723  0.801
Br  0.500  0.500  0.500


No. 18
This record from Alexandria via LeMat-Bulk describes SnHg2I after structural relaxation. The functional is PBE.

Results
The calculation puts the formation energy without anion corrections at 0.01 eV per atom. The symmetry is No. 122.

abc: 8.359 8.359 8.359
angles: 130.58 130.58 72.48
Fractional coordinates of all 8 atoms:
Sn  0.000  0.000  0.000
Sn  0.750  0.250  0.500
Hg  0.080  0.625  0.955
Hg  0.375  0.330  0.455
Hg  0.670  0.125  0.045
Hg  0.875  0.920  0.545
I  0.250  0.750  0.500
I  0.500  0.500  0.000


No. 19
This record from Alexandria via LeMat-Bulk describes Ac2PmNdAs4 after structural relaxation. The functional is PBE.

Results
The symmetry is No. 10. As for the energy of formation: -1.483 eV per atom.

abc: 7.622 4.404 7.636
angles: 90.00 109.41 90.00
Fractional coordinates of all 8 atoms:
Ac  0.000  0.000  0.000
Ac  0.500  0.500  0.000
Pm  0.000  0.500  0.500
Nd  0.500  0.000  0.500
As  0.244  0.000  0.735
As  0.254  0.500  0.265
As  0.746  0.500  0.735
As  0.756  0.000  0.265


No. 20
This record from Alexandria via LeMat-Bulk describes Pm4BiSb2 after structural relaxation. The functional is PBE.

Results
The calculation puts the formation energy without anion corrections at -0.98 eV per atom. The symmetry is No. 122.

abc: 8.230 8.230 8.230
angles: 109.38 109.38 109.65
Fractional coordinates of all 14 atoms:
Pm  0.129  0.734  0.748
Pm  0.132  0.236  0.752
Pm  0.266  0.014  0.396
Pm  0.484  0.379  0.248
Pm  0.618  0.871  0.604
Pm  0.621  0.868  0.104
Pm  0.764  0.516  0.896
Pm  0.986  0.382  0.252
Bi  0.000  0.000  0.000
Bi  0.750  0.250  0.500
Sb  0.248  0.625  0.123
Sb  0.375  0.498  0.623
Sb  0.502  0.125  0.877
Sb  0.875  0.752  0.377


Number 1: VASP energy -34.26 eV for the cell shown. Number 2: VASP energy -76.44 eV for the cell shown. Number 3: VASP energy -18.68 eV for the cell shown. Number 4: VASP energy -51.83 eV for the cell shown. Number 5: VASP energy -7.44 eV for the cell shown. Number 6: VASP energy -21.89 eV for the cell shown. Number 7: VASP energy -56.24 eV for the cell shown. Number 8: VASP energy -15.97 eV for the cell shown. Number 9: VASP energy -32.84 eV for the cell shown. Number 10: VASP energy -107.13 eV for the cell shown. Number 11: VASP energy -19.28 eV for the cell shown. Number 12: VASP energy -31.10 eV for the cell shown. Number 13: VASP energy -11.37 eV for the cell shown. Number 14: VASP energy -79.35 eV for the cell shown. Number 15: VASP energy -17.42 eV for the cell shown. Number 16: VASP energy -12.26 eV for the cell shown. Number 17: VASP energy -26.92 eV for the cell shown. Number 18: VASP energy -12.25 eV for the cell shown. Number 19: VASP energy -48.19 eV for the cell shown. Number 20: VASP energy -75.98 eV for the cell shown.